First-principles (GGA-PBE) data for an optimized crystal structure of Sr12As6N, as listed in the Alexandria database.

Summary:
E_tot in eV/f.u.: -73.913
Space-group type: No. 148
Total moment in μB per formula unit: 2.66
E_form (uncorrected) in eV per atom: -0.922

```
Sr12As6N
1.0
8.841 0.014 0.017
-1.327 8.741 0.017
-1.327 -1.546 8.603
Sr As N
12 6 1
Direct
0.818 0.565 0.417 Sr
0.417 0.818 0.565 Sr
0.565 0.417 0.818 Sr
0.182 0.435 0.583 Sr
0.583 0.182 0.435 Sr
0.435 0.583 0.182 Sr
0.063 0.961 0.301 Sr
0.039 0.699 0.937 Sr
0.699 0.937 0.039 Sr
0.937 0.039 0.699 Sr
0.961 0.301 0.063 Sr
0.301 0.063 0.961 Sr
0.709 0.871 0.386 As
0.614 0.291 0.129 As
0.129 0.614 0.291 As
0.291 0.129 0.614 As
0.386 0.709 0.871 As
0.871 0.386 0.709 As
0.000 0.000 0.000 N
```